{
  "formula": "Nd2As4RuRh3",
  "functional": "GGA-PBE",
  "state": "relaxed",
  "cell": [[4.285, 0.000, 0.000], [0.000, 4.285, 0.000], [0.000, 0.000, 10.045]],
  "species": ["Nd", "Nd", "As", "As", "As", "As", "Ru", "Rh", "Rh", "Rh"],
  "fractional_positions": [[0.000, 0.500, 0.245], [0.500, 0.000, 0.755], [0.000, 0.000, 0.000], [0.000, 0.500, 0.632], [0.500, 0.000, 0.368], [0.500, 0.500, 0.000], [0.000, 0.000, 0.500], [0.000, 0.500, 0.877], [0.500, 0.000, 0.123], [0.500, 0.500, 0.500]],
  "delta_e_f_ev_per_atom": -0.89
}

{
  "formula": "Nd2SbAs3Rh4",
  "functional": "GGA-PBE",
  "state": "relaxed",
  "cell": [[4.286, 0.000, 0.000], [0.000, 4.286, 0.000], [0.000, 0.000, 10.507]],
  "species": ["Nd", "Nd", "Sb", "As", "As", "As", "Rh", "Rh", "Rh", "Rh"],
  "fractional_positions": [[0.000, 0.500, 0.239], [0.500, 0.000, 0.761], [0.000, 0.000, 0.500], [0.000, 0.500, 0.868], [0.500, 0.000, 0.132], [0.500, 0.500, 0.500], [0.000, 0.000, 0.000], [0.000, 0.500, 0.637], [0.500, 0.000, 0.363], [0.500, 0.500, 0.000]],
  "dft_energy_ry_per_atom": -0.4822
}

{
  "formula": "Nd2SbAsRh6",
  "functional": "GGA-PBE",
  "state": "relaxed",
  "cell": [[5.505, 0.000, 0.000], [0.000, 8.696, 0.000], [0.000, 0.000, 8.393]],
  "species": ["Nd", "Nd", "Nd", "Nd", "Sb", "Sb", "As", "As", "Rh", "Rh", "Rh", "Rh", "Rh", "Rh", "Rh", "Rh", "Rh", "Rh", "Rh", "Rh"],
  "fractional_positions": [[0.250, 0.004, 0.220], [0.250, 0.496, 0.220], [0.750, 0.504, 0.780], [0.750, 0.996, 0.780], [0.250, 0.250, 0.764], [0.750, 0.750, 0.236], [0.250, 0.750, 0.746], [0.750, 0.250, 0.254], [0.002, 0.750, 0.981], [0.005, 0.250, 0.491], [0.250, 0.501, 0.587], [0.250, 0.999, 0.587], [0.495, 0.250, 0.491], [0.498, 0.750, 0.981], [0.502, 0.250, 0.019], [0.505, 0.750, 0.509], [0.750, 0.001, 0.413], [0.750, 0.499, 0.413], [0.995, 0.750, 0.509], [0.998, 0.250, 0.019]],
  "dft_energy_ry_per_atom": -0.4995
}

{
  "formula": "NdSbAs2Rh5",
  "functional": "GGA-PBE",
  "state": "relaxed",
  "cell": [[4.098, 0.000, 0.000], [0.000, 4.098, 0.000], [0.000, 0.000, 10.667]],
  "species": ["Nd", "Sb", "As", "As", "Rh", "Rh", "Rh", "Rh", "Rh"],
  "fractional_positions": [[0.000, 0.000, 0.000], [0.000, 0.000, 0.500], [0.500, 0.500, 0.223], [0.500, 0.500, 0.777], [0.000, 0.500, 0.343], [0.000, 0.500, 0.657], [0.500, 0.000, 0.343], [0.500, 0.000, 0.657], [0.500, 0.500, 0.000]],
  "dft_energy_ry_per_atom": -0.4893
}

{
  "formula": "Nd2Sb3AsRh4",
  "functional": "GGA-PBE",
  "state": "relaxed",
  "cell": [[4.477, 0.000, 0.000], [0.000, 4.477, 0.000], [0.000, 0.000, 10.456]],
  "species": ["Nd", "Nd", "Sb", "Sb", "Sb", "As", "Rh", "Rh", "Rh", "Rh"],
  "fractional_positions": [[0.000, 0.500, 0.245], [0.500, 0.000, 0.755], [0.000, 0.000, 0.000], [0.000, 0.500, 0.636], [0.500, 0.000, 0.364], [0.500, 0.500, 0.000], [0.000, 0.000, 0.500], [0.000, 0.500, 0.882], [0.500, 0.000, 0.118], [0.500, 0.500, 0.500]],
  "dft_energy_ry_per_atom": -0.4718
}

{
  "formula": "Nd2ScAs4Rh3",
  "functional": "GGA-PBE",
  "state": "relaxed",
  "cell": [[4.298, 0.000, 0.000], [0.000, 4.298, 0.000], [0.000, 0.000, 10.606]],
  "species": ["Nd", "Nd", "Sc", "As", "As", "As", "As", "Rh", "Rh", "Rh"],
  "fractional_positions": [[0.000, 0.500, 0.230], [0.500, 0.000, 0.770], [0.000, 0.000, 0.500], [0.000, 0.000, 0.000], [0.000, 0.500, 0.650], [0.500, 0.000, 0.350], [0.500, 0.500, 0.000], [0.000, 0.500, 0.884], [0.500, 0.000, 0.116], [0.500, 0.500, 0.500]],
  "delta_e_f_ev_per_atom": -1.00
}